The following is a PBE calculation of a geometry-optimized La2TcOs2 structure, from the Alexandria database.

Properties
Total magnetization ... 0.00 μB/atom
Formation energy from the elements ... 0.14 eV/atom
Electronic total energy ... -83.9 eV per cell
Crystal system ... tetragonal
Excess energy over the best structure of this formula in the dataset ... 0 meV per atom

a b c (Å): 6.675 6.675 4.932
angles (deg): 90.00 90.00 90.00
Sites, in units of the cell vectors:
La  0.183  0.317  0.000
La  0.317  0.817  0.000
La  0.683  0.183  0.000
La  0.817  0.683  0.000
Tc  0.000  0.000  0.500
Tc  0.500  0.500  0.500
Os  0.135  0.635  0.500
Os  0.365  0.135  0.500
Os  0.635  0.865  0.500
Os  0.865  0.365  0.500